BaPbAu2 after structural relaxation. Source: the Alexandria database, functional PBEsol.

Energy of formation = -392.5 meV/atom
Electronic total energy = -15.57 eV/cell
SG = No. 6
Density of states at the Fermi level = 0.447 states/eV per atom

Cell: 4.5436 4.6789 5.4933 Å, 90.00 105.78 90.00°
With the nearest neighbours (Å) after each atom.
Fractional positions:
1 Ba 0.0000 0.0000 0.0000  7 Au 3.11-3.41
2 Pb 0.6934 0.5000 0.4065  4 Au 2.94-2.99
3 Au 0.3940 0.0000 0.5605  2 Au 2.81, 2 Pb 2.94, 2 Ba 3.11-3.13
4 Au 0.4318 0.5000 0.8507  2 Au 2.81, 2 Pb 2.96-2.99